The following is a DFT calculation (GGA-PBE) of crystalline Fe2CoH at its relaxed geometry.

a b c (Å): 3.6612 3.6612 5.4351
angles (deg): 70.32 70.32 60.00
Closest atoms and distances in Å follow each position.
Element x y z (fractional)
Fe  0.6083  0.6083  0.1751  1 H 1.63
Co  0.0000  0.0000  0.0000  6 Fe 2.29
H  0.5000  0.5000  0.5000  2 Fe 1.63
Fe  0.3917  0.3917  0.8249  1 H 1.63

Properties
**Polymorph energy (0 for the lowest one)**: 2.88 eV per formula unit
**SG**: R-3m (166)
**Calculated total energy**: -6.099 eV/atom
**Volume**: 14.53 Å³ per atom
**Density of states at the Fermi level**: 1.28 states/eV/cell



The following is a DFT calculation (GGA-PBE) of crystalline FeCoH at its relaxed geometry.

a b c (Å): 3.5943 3.5717 4.3751
angles (deg): 65.92 114.23 89.98
Closest atoms and distances in Å follow each position.
Element x y z (fractional)
H  0.5670  0.2471  0.4945  3 Co 1.79-1.82, 3 Fe 1.79-1.80
H  0.3115  0.0031  0.9829  3 Co 1.79-1.82, 3 Fe 1.79-1.80
Fe  0.0599  0.2546  0.4800  3 H 1.79-1.80
Fe  0.8186  0.9956  0.9973  3 H 1.79-1.80
Co  0.5661  0.7482  0.4922  3 H 1.79-1.82
Co  0.3125  0.5020  0.9851  3 H 1.79-1.82

Properties
**Polymorph energy (0 for the lowest one)**: 0.45 eV per formula unit
**SG**: Imma (74)
**Calculated total energy**: -6.170 eV/atom
**Volume**: 7.63 Å³ per atom
**Density of states at the Fermi level**: 7.86 states/eV/cell



Q: Which of these has the highest volume?
A: Fe2CoH